A plane-wave DFT calculation with GGA+U was carried out for Ni2RhF after structural relaxation.

Cell and atoms, written as POSCAR:
```
Ni2RhF
1.0
-5.678 -2.179 -0.076
0.537 -1.194 -5.939
-1.533 -4.410 -2.366
Ni Rh F
4 2 2
Direct
0.572 0.125 0.250
0.178 0.625 0.250
0.375 0.428 0.750
0.875 0.822 0.750
0.000 0.000 0.000
0.750 0.250 0.500
0.500 0.500 0.000
0.250 0.750 0.500
```

Results
The value obtained for the calculated total energy is -3.436 eV/atom. For the energy relative to the lowest polymorph listed for this composition, the calculation gives 0.000 eV per atom.